Entry 1:
## KNaW2 (GGA-PBE)

Data for KNaW2 after structural relaxation.

a b c (Å): 4.9142 4.9142 4.9142
angles (deg): 60.00 60.00 60.00
Fractional coordinates of all 4 atoms:
K 0.0000 0.0000 0.0000
Na 0.5000 0.5000 0.5000
W 0.2500 0.2500 0.2500
W 0.7500 0.7500 0.7500

Properties
ΔH_f (0 K)   2.846 eV per atom
Energy above the most stable polymorph in this dataset   589 meV per atom

Entry 2:
## LiY2Sn (GGA-PBE)

Data for LiY2Sn after structural relaxation.

a b c (Å): 6.3483 4.6579 7.4415
angles (deg): 90.00 107.00 90.00
Fractional coordinates of all 8 atoms:
Li 0.1304 0.2500 0.2345
Li 0.8696 0.7500 0.7655
Y 0.2834 0.7500 0.5709
Y 0.3505 0.7500 0.0935
Y 0.6495 0.2500 0.9065
Y 0.7166 0.2500 0.4291
Sn 0.1246 0.2500 0.7981
Sn 0.8754 0.7500 0.2019

Properties
ΔH_f (0 K)   -0.454 eV per atom

Entry 3:
## AcTmSi2Pd5 (GGA-PBE)

Data for AcTmSi2Pd5 after structural relaxation.

a b c (Å): 4.2843 4.2843 9.0723
angles (deg): 90.00 90.00 90.00
Fractional coordinates of all 9 atoms:
Ac 0.0000 0.0000 0.0000
Tm 0.0000 0.0000 0.5000
Si 0.5000 0.5000 0.3716
Si 0.5000 0.5000 0.6284
Pd 0.0000 0.5000 0.2458
Pd 0.0000 0.5000 0.7542
Pd 0.5000 0.0000 0.2458
Pd 0.5000 0.0000 0.7542
Pd 0.5000 0.5000 0.0000

Properties
Energy relative to the elements, uncorrected   -82 kJ/mol of atoms

no.,raw total energy (eV/atom)
1,-4.23
2,-5.17
3,-5.89